Ta2BeCoH | PBE-GGA | optimized geometry

Geometry as CIF:
```
data_Ta2BeCoH
_cell_length_a 4.044
_cell_length_b 4.044
_cell_length_c 3.567
_cell_angle_alpha 90.00
_cell_angle_beta 90.00
_cell_angle_gamma 90.00
_symmetry_space_group_name_H-M 'P 4/m m m'
_symmetry_Int_Tables_number 123
_symmetry_space_group_name_Hall '-P 4 2'
loop_
_atom_site_label
_atom_site_type_symbol
_atom_site_fract_x
_atom_site_fract_y
_atom_site_fract_z
_atom_site_occupancy
Ta1 Ta 0.000 0.500 0.000 1
Be1 Be 0.000 0.000 0.500 1
Co1 Co 0.500 0.500 0.500 1
H1 H 0.500 0.500 0.000 1
```

Computed properties:
DOS(E_F) in states/eV/cell: 3.3
Total energy in eV/f.u.: -38.1